[1]
Entry from the Alexandria database: an optimized crystal structure of Li4MgAg3 (PBE-GGA).

Results
Calculated density in g cm⁻³: 4.53
Space group: C2/m, No. 12
Size of the total moment in μB/cell: 0.000
Energy relative to the elements in eV per atom: -0.182

a b c (Å): 3.081 4.763 10.917
angles (deg): 119.38 98.11 90.00
Positions (direct):
Mg  0.500  0.000  0.000
Li  0.378  0.173  0.757
Ag  0.869  0.647  0.739
Ag  0.000  0.500  0.000
Li  0.622  0.827  0.243
Li  0.750  0.740  0.499
Ag  0.131  0.353  0.261
Li  0.250  0.260  0.501

***

[2]
Entry from the Alexandria database: an optimized crystal structure of CsPPb (PBE-GGA).

Results
Calculated density in g cm⁻³: 4.88
Space group: P1, No. 1
Size of the total moment in μB/cell: 0.000
Energy relative to the elements in eV per atom: -0.173

a b c (Å): 6.004 6.750 7.482
angles (deg): 104.21 107.92 61.78
Positions (direct):
P  0.502  0.540  0.794
Pb  0.830  0.355  0.550
P  0.133  0.593  0.588
Pb  0.089  0.975  0.836
Cs  0.469  0.962  0.454
Cs  0.115  0.526  0.078

***

[3]
Entry from the Alexandria database: an optimized crystal structure of YMg2P2 (PBE-GGA).

Results
Calculated density in g cm⁻³: 3.41
Space group: I4/mmm, No. 139
Size of the total moment in μB/cell: 0.000
Energy relative to the elements in eV per atom: -0.684

a b c (Å): 3.945 3.945 6.845
angles (deg): 73.25 73.25 90.00
Positions (direct):
Y  0.000  0.000  0.000
P  0.386  0.386  0.228
Mg  0.750  0.250  0.500
Mg  0.250  0.750  0.500
P  0.614  0.614  0.772

***

[4]
Entry from the Alexandria database: an optimized crystal structure of La5Y8In (PBE-GGA).

Results
Calculated density in g cm⁻³: 5.24
Space group: I-4, No. 82
Size of the total moment in μB/cell: 0.001
Energy relative to the elements in eV per atom: 0.114

a b c (Å): 8.686 8.686 8.686
angles (deg): 102.99 123.41 102.99
Positions (direct):
La  0.500  0.000  0.500
La  0.275  0.199  0.072
La  0.873  0.801  0.076
Y  0.459  0.495  0.537
Y  0.463  0.922  0.958
Y  0.581  0.661  0.241
Y  0.042  0.505  0.964
In  0.250  0.500  0.750
La  0.924  0.796  0.725
Y  0.036  0.078  0.541
Y  0.759  0.340  0.420
Y  0.080  0.660  0.419
La  0.928  0.204  0.127
Y  0.580  0.339  0.920

***

[5]
Entry from the Alexandria database: an optimized crystal structure of BeFe2As (PBE-GGA).

Results
Calculated density in g cm⁻³: 7.09
Space group: F-43m, No. 216
Size of the total moment in μB/cell: 4.115
Energy relative to the elements in eV per atom: 0.142

a b c (Å): 4.016 4.016 4.016
angles (deg): 60.00 60.00 60.00
Positions (direct):
As  0.500  0.500  0.500
Fe  0.000  0.000  0.000
Be  0.750  0.750  0.750
Fe  0.250  0.250  0.250

***

[6]
Entry from the Alexandria database: an optimized crystal structure of TiNbSe2 (PBE-GGA).

Results
Calculated density in g cm⁻³: 6.24
Space group: R-3m, No. 166
Energy relative to the elements, uncorrected in eV/atom: -0.394
Size of the total moment in μB/cell: 0.000

a b c (Å): 8.801 8.801 8.801
angles (deg): 21.40 21.40 21.40
Positions (direct):
Se  0.899  0.899  0.899
Se  0.101  0.101  0.101
Nb  0.000  0.000  0.000
Ti  0.500  0.500  0.500

***

[7]
Entry from the Alexandria database: an optimized crystal structure of LiMn2Ni (PBE-GGA).

Results
Calculated density in g cm⁻³: 5.36
Space group: R-3m, No. 166
Size of the total moment in μB/cell: 7.593
Energy relative to the elements in eV per atom: 0.268

a b c (Å): 8.847 8.847 8.847
angles (deg): 17.45 17.45 17.45
Positions (direct):
Ni  0.750  0.750  0.750
Mn  0.006  0.006  0.006
Mn  0.494  0.494  0.494
Li  0.250  0.250  0.250

***

[8]
Entry from the Alexandria database: an optimized crystal structure of TlIn2P (PBE-GGA).

Results
Calculated density in g cm⁻³: 7.50
Space group: F-43m, No. 216
Size of the total moment in μB/cell: 0.000
Energy relative to the elements in eV per atom: 0.294

a b c (Å): 5.262 5.262 5.262
angles (deg): 60.00 60.00 60.00
Positions (direct):
In  0.250  0.250  0.250
P  0.500  0.500  0.500
Tl  0.750  0.750  0.750
In  0.000  0.000  0.000

***

[9]
Entry from the Alexandria database: an optimized crystal structure of CrCdPb2 (PBE-GGA).

Results
Calculated density in g cm⁻³: 9.62
Space group: Pmmm, No. 47
Size of the total moment in μB/cell: 4.170
Energy relative to the elements in eV per atom: 0.362

a b c (Å): 4.799 4.820 4.319
angles (deg): 90.00 90.00 90.00
Positions (direct):
Pb  0.000  0.000  0.000
Cr  0.000  0.500  0.500
Pb  0.500  0.500  0.000
Cd  0.500  0.000  0.500

***

[10]
Entry from the Alexandria database: an optimized crystal structure of Y2Er2Sc15 (PBE-GGA).

Results
Calculated density in g cm⁻³: 3.82
Space group: R-3m, No. 166
Size of the total moment in μB/cell: 0.127
Energy relative to the elements in eV per atom: 0.246

a b c (Å): 8.115 8.115 8.115
angles (deg): 80.83 80.83 80.83
Positions (direct):
Sc  0.155  0.633  0.633
Sc  0.000  0.696  0.304
Sc  0.367  0.367  0.845
Sc  0.696  0.304  0.000
Sc  0.633  0.633  0.155
Sc  0.500  0.000  0.000
Y  0.111  0.111  0.111
Sc  0.000  0.000  0.500
Sc  0.845  0.367  0.367
Er  0.666  0.666  0.666
Sc  0.633  0.155  0.633
Sc  0.367  0.845  0.367
Sc  0.304  0.000  0.696
Er  0.334  0.334  0.334
Sc  0.000  0.304  0.696
Y  0.889  0.889  0.889
Sc  0.696  0.000  0.304
Sc  0.000  0.500  0.000
Sc  0.304  0.696  0.000

***

[11]
Entry from the Alexandria database: an optimized crystal structure of Tb2ZnGa3Cu12 (PBE-GGA).

Results
Calculated density in g cm⁻³: 7.08
Space group: R-3m, No. 166
Size of the total moment in μB/cell: 0.000
Energy relative to the elements in eV per atom: 0.207

a b c (Å): 7.122 7.122 7.122
angles (deg): 72.05 72.05 72.05
Positions (direct):
Cu  0.612  0.015  0.612
Cu  0.015  0.612  0.612
Ga  0.500  0.000  0.000
Tb  0.604  0.604  0.604
Cu  0.341  0.846  0.846
Cu  0.846  0.846  0.341
Cu  0.154  0.659  0.154
Cu  0.154  0.154  0.659
Cu  0.612  0.612  0.015
Cu  0.659  0.154  0.154
Tb  0.396  0.396  0.396
Cu  0.388  0.388  0.985
Ga  0.000  0.500  0.000
Ga  0.000  0.000  0.500
Cu  0.985  0.388  0.388
Zn  0.000  0.000  0.000
Cu  0.846  0.341  0.846
Cu  0.388  0.985  0.388

***

[12]
Entry from the Alexandria database: an optimized crystal structure of ScRe3C (PBE-GGA).

Results
Calculated density in g cm⁻³: 10.56
Space group: Pm-3m, No. 221
Size of the total moment in μB/cell: 0.000
Energy relative to the elements in eV per atom: 3.833

a b c (Å): 4.592 4.592 4.592
angles (deg): 90.00 90.00 90.00
Positions (direct):
Re  0.000  0.000  0.500
Re  0.500  0.000  0.000
C  0.500  0.500  0.500
Sc  0.000  0.000  0.000
Re  0.000  0.500  0.000